Entry 1:
# Mn2NiCl

A geometry-optimized Mn2NiCl structure (PBE-GGA, Alexandria via LeMat-Bulk).

Cell: 7.5330 7.5330 7.5330 Å, 24.09 24.09 24.09°
Last column: magnetic moment on the atom in μB.
Fractional coordinates of all 4 atoms:
Ni (0.2500, 0.2500, 0.2500)  0.72
Mn (0.9936, 0.9936, 0.9936)  3.85
Mn (0.5064, 0.5064, 0.5064)  3.85
Cl (0.7500, 0.7500, 0.7500)  0.06

Properties
Formation energy (no corrections) = 0.09 eV/atom
Space group = R-3m (166)
Energy above the lowest structure with this stoichiometry = 0.112 eV per atom


Entry 2:
# ZrPt2W

A geometry-optimized ZrPt2W structure (PBE-GGA, Alexandria via LeMat-Bulk).

Cell: 9.7007 9.7007 9.7007 Å, 16.96 16.96 16.96°
Fractional coordinates of all 4 atoms:
Pt (0.9962, 0.9962, 0.9962)
Pt (0.5038, 0.5038, 0.5038)
W (0.2500, 0.2500, 0.2500)
Zr (0.7500, 0.7500, 0.7500)

Properties
Space group = R-3m (166)
Energy = -8.61 eV per atom


Entry 3:
# NaGaCu

A geometry-optimized NaGaCu structure (PBE-GGA, Alexandria via LeMat-Bulk).

Cell: 3.4011 4.3806 4.3806 Å, 120.00 90.00 90.00°
Fractional coordinates of all 3 atoms:
Na (0.6668, 0.3333, 0.6667)
Cu (0.1659, 0.6667, 0.3333)
Ga (0.1673, 0.0000, 0.0000)

Properties
Space group = P-6m2 (187)
Energy = -2.74 eV per atom


Entry 4:
# Y4TcSn

A geometry-optimized Y4TcSn structure (PBE-GGA, Alexandria via LeMat-Bulk).

Cell: 6.1876 8.0815 8.0816 Å, 112.63 103.50 103.50°
Fractional coordinates of all 12 atoms:
Y (0.8337, 0.6474, 0.7893)
Y (0.0680, 0.9418, 0.2814)
Y (0.6663, 0.2107, 0.3526)
Y (0.4320, 0.7186, 0.0582)
Y (0.5680, 0.2814, 0.9418)
Y (0.3337, 0.7893, 0.6474)
Y (0.9320, 0.0582, 0.7186)
Y (0.1663, 0.3526, 0.2107)
Tc (0.2500, 0.0005, 0.9995)
Tc (0.7500, 0.9995, 0.0005)
Sn (0.7500, 0.6288, 0.3712)
Sn (0.2500, 0.3712, 0.6288)

Properties
Space group = C2/c (15)
Energy = -7.06 eV per atom


Entry 5:
# HfZr2HPt

A geometry-optimized HfZr2HPt structure (PBE-GGA, Alexandria via LeMat-Bulk).

Cell: 4.2955 4.2955 4.4756 Å, 90.00 90.00 90.00°
Fractional coordinates of all 5 atoms:
H (0.0000, 0.0000, 0.0000)
Hf (0.0000, 0.0000, 0.5000)
Zr (0.0000, 0.5000, 0.0000)
Zr (0.5000, 0.0000, 0.0000)
Pt (0.5000, 0.5000, 0.5000)

Properties
Space group = P4/mmm (123)
Energy above the lowest structure with this stoichiometry = 0.000 eV per atom


Entry 6:
# TbPrMg6

A geometry-optimized TbPrMg6 structure (PBE-GGA, Alexandria via LeMat-Bulk).

Cell: 5.2200 6.7696 6.7696 Å, 119.97 90.00 90.00°
Fractional coordinates of all 8 atoms:
Tb (0.5000, 0.4164, 0.5836)
Pr (0.0000, 0.0835, 0.9165)
Mg (0.0000, 0.0782, 0.4139)
Mg (0.0000, 0.5861, 0.9218)
Mg (0.0000, 0.5857, 0.4143)
Mg (0.5000, 0.4280, 0.0893)
Mg (0.5000, 0.9107, 0.5720)
Mg (0.5000, 0.9111, 0.0889)

Properties
Space group = P-6m2 (187)
Energy = -2.46 eV per atom


Entry 7:
# VCd2Sb

A geometry-optimized VCd2Sb structure (PBE-GGA, Alexandria via LeMat-Bulk).

Cell: 8.2635 8.2635 6.4568 Å, 50.22 50.22 90.00°
Last column: magnetic moment on the atom in μB.
Fractional coordinates of all 8 atoms:
Sb (0.0000, 0.0000, 0.0000)  -0.13
Sb (0.7500, 0.2500, 0.5000)  -0.13
Cd (0.6167, 0.1250, 0.2500)  -0.04
Cd (0.1333, 0.6250, 0.2500)  -0.04
Cd (0.3750, 0.3833, 0.7500)  -0.04
Cd (0.8750, 0.8667, 0.7500)  -0.04
V (0.5000, 0.5000, 0.0000)  2.19
V (0.2500, 0.7500, 0.5000)  2.19

Properties
Formation energy (no corrections) = 0.43 eV/atom
Space group = I-42d (122)


Entry 8:
# BaTiZnGa2

A geometry-optimized BaTiZnGa2 structure (PBE-GGA, Alexandria via LeMat-Bulk).

Cell: 5.8536 5.2451 5.8536 Å, 90.00 90.00 90.00°
Last column: magnetic moment on the atom in μB.
Fractional coordinates of all 5 atoms:
Zn (0.5000, 0.5000, 0.5000)  0.00
Ba (0.0000, 0.0000, 0.0000)  0.00
Ga (0.0000, 0.0000, 0.5000)  -0.01
Ga (0.5000, 0.0000, 0.0000)  -0.02
Ti (0.0000, 0.5000, 0.0000)  0.46

Properties
Space group = P4/mmm (123)
Energy = -1.93 eV per atom